Density functional theory data (PBE) for TbDyEr5 after structural relaxation.

a = 6.087 Å, b = 7.946 Å, c = 7.658 Å
α = 121.25°, β = 113.42°, γ = 90.00°
Element x y z (fractional)
Er  0.433  0.179  0.000
Tb  0.933  0.000  0.000
Er  0.676  0.744  0.487
Dy  0.695  0.500  0.000
Er  0.172  0.500  0.000
Er  0.433  0.821  0.000
Er  0.189  0.256  0.513

Properties
- Energy above the lowest structure with this stoichiometry: 0.8057 eV/atom
- M_tot: 0.000 μB per formula unit
- DFT formation energy: 679 kJ/mol of formula units
- Uncorrected energy: -25.0 eV/cell